[1]
This record from the Alexandria database describes Pu2P2PbN6 after structural relaxation. The functional is PBE.

a = 6.4651 Å, b = 6.4110 Å, c = 6.3800 Å
α = 118.83°, β = 90.00°, γ = 59.72°
Site moments in Bohr magnetons follow the coordinates.
Sites, in units of the cell vectors:
Pb1 0.5000 0.0000 0.5000  -0.02
N1 0.9318 0.1363 0.3722  -0.08
N2 0.0107 0.5740 0.8167  -0.09
N3 0.0682 0.8637 0.6278  -0.08
N4 0.5847 0.4264 0.1834  -0.09
N5 0.9893 0.4260 0.1833  -0.09
N6 0.4153 0.5736 0.8166  -0.09
Pu1 0.8210 0.3579 0.8156  4.57
Pu2 0.1790 0.6421 0.1844  4.57
P1 0.1708 0.6582 0.7269  0.03
P2 0.8292 0.3418 0.2731  0.03

Computed properties:
* size of the total moment: 8.8 μB per formula unit
* uncorrected formation energy: -0.39 eV per atom

=====

[2]
This record from the Alexandria database describes KCuOF2 after structural relaxation. The functional is PBE.

a = 4.2753 Å, b = 4.2753 Å, c = 3.6326 Å
α = 90.00°, β = 90.00°, γ = 90.00°
Site moments in Bohr magnetons follow the coordinates.
Sites, in units of the cell vectors:
O1 0.0000 0.0000 0.5000  0.53
K1 0.5000 0.5000 0.5000  0.00
Cu1 0.0000 0.0000 0.0000  0.50
F1 0.0000 0.5000 0.0000  0.05
F2 0.5000 0.0000 0.0000  0.05

Computed properties:
* size of the total moment: 1.2 μB per formula unit
* E above lowest polymorph: 0 meV/atom
* uncorrected formation energy: -1.55 eV per atom